Record 1
B2RuAu: single point on PBEsol structure, meta-GGA SCAN.

Cell and atoms, written as CIF:
```
data_B2RuAu
_space_group_name_H-M_alt 'P 1'
_space_group_IT_number 1
_space_group_name_Hall 'P 1'
_cell_length_a 3.9113
_cell_length_b 3.9113
_cell_length_c 3.9113
_cell_angle_alpha 60.00
_cell_angle_beta 60.00
_cell_angle_gamma 60.00
loop_
_atom_site_label
_atom_site_type_symbol
_atom_site_fract_x
_atom_site_fract_y
_atom_site_fract_z
B1 B 0.2500 0.2500 0.2500
B2 B 0.7500 0.7500 0.7500
Au1 Au 0.5000 0.5000 0.5000
Ru1 Ru 0.0000 0.0000 0.0000
```

Computed properties:
Magnetization = 0.00 μB/atom
Symmetry = Fm-3m (225)
E_tot = -115.5 eV/f.u.

Record 2
TaAl2As: single point on PBEsol structure, meta-GGA SCAN.

Cell and atoms, written as CIF:
```
data_TaAl2As
_space_group_name_H-M_alt 'P 1'
_space_group_IT_number 1
_space_group_name_Hall 'P 1'
_cell_length_a 2.8458
_cell_length_b 2.8458
_cell_length_c 8.3577
_cell_angle_alpha 90.00
_cell_angle_beta 90.00
_cell_angle_gamma 99.57
loop_
_atom_site_label
_atom_site_type_symbol
_atom_site_fract_x
_atom_site_fract_y
_atom_site_fract_z
Al1 Al 0.0000 0.0000 0.7569
Al2 Al 0.0000 0.0000 0.2431
As1 As 0.5000 0.5000 0.5000
Ta1 Ta 0.5000 0.5000 0.0000
```

Computed properties:
Magnetization = 0.00 μB/atom
Symmetry = Cmmm (65)
E_tot = -102.5 eV/f.u.

Record 3
Y3TaH: single point on PBEsol structure, meta-GGA SCAN.

Cell and atoms, written as CIF:
```
data_Y3TaH
_space_group_name_H-M_alt 'P 1'
_space_group_IT_number 1
_space_group_name_Hall 'P 1'
_cell_length_a 4.7004
_cell_length_b 4.7004
_cell_length_c 4.7004
_cell_angle_alpha 90.00
_cell_angle_beta 90.00
_cell_angle_gamma 90.00
loop_
_atom_site_label
_atom_site_type_symbol
_atom_site_fract_x
_atom_site_fract_y
_atom_site_fract_z
Y1 Y 0.0000 0.5000 0.0000
Y2 Y 0.5000 0.0000 0.0000
Y3 Y 0.0000 0.0000 0.5000
Ta1 Ta 0.5000 0.5000 0.5000
H1 H 0.0000 0.0000 0.0000
```

Computed properties:
Magnetization = 0.00 μB/atom
Symmetry = Pm-3m (221)
E_tot = -152.8 eV/f.u.

Record 4
Na5BrCl4: single point on PBEsol structure, meta-GGA SCAN.

Cell and atoms, written as CIF:
```
data_Na5BrCl4
_space_group_name_H-M_alt 'P 1'
_space_group_IT_number 1
_space_group_name_Hall 'P 1'
_cell_length_a 4.0053
_cell_length_b 4.0053
_cell_length_c 16.5230
_cell_angle_alpha 83.04
_cell_angle_beta 83.04
_cell_angle_gamma 60.00
loop_
_atom_site_label
_atom_site_type_symbol
_atom_site_fract_x
_atom_site_fract_y
_atom_site_fract_z
Na1 Na 0.7971 0.7971 0.6086
Na2 Na 0.2029 0.2029 0.3914
Na3 Na 0.3985 0.3985 0.8044
Na4 Na 0.0000 0.0000 0.0000
Na5 Na 0.6015 0.6015 0.1956
Br1 Br 0.5000 0.5000 0.5000
Cl1 Cl 0.3007 0.3007 0.0978
Cl2 Cl 0.6993 0.6993 0.9022
Cl3 Cl 0.9022 0.9022 0.2935
Cl4 Cl 0.0978 0.0978 0.7065
```

Computed properties:
Magnetization = 0.00 μB/atom
Symmetry = R-3m (166)
E_tot = -92.2 eV/f.u.

Record 5
MgZrTc2: single point on PBEsol structure, meta-GGA SCAN.

Cell and atoms, written as CIF:
```
data_MgZrTc2
_space_group_name_H-M_alt 'P 1'
_space_group_IT_number 1
_space_group_name_Hall 'P 1'
_cell_length_a 3.1743
_cell_length_b 4.5315
_cell_length_c 5.3987
_cell_angle_alpha 114.81
_cell_angle_beta 107.10
_cell_angle_gamma 90.00
loop_
_atom_site_label
_atom_site_type_symbol
_atom_site_fract_x
_atom_site_fract_y
_atom_site_fract_z
Tc1 Tc 0.0198 0.0198 0.0395
Tc2 Tc 0.7316 0.2316 0.4632
Zr1 Zr 0.4849 0.4849 0.9698
Mg1 Mg 0.2637 0.7637 0.5275
```

Computed properties:
Magnetization = 0.00 μB/atom
Symmetry = Imm2 (44)
E_tot = -106.2 eV/f.u.

Record 6
ZnIrS2Br: single point on PBEsol structure, meta-GGA SCAN.

Cell and atoms, written as CIF:
```
data_ZnIrS2Br
_space_group_name_H-M_alt 'P 1'
_space_group_IT_number 1
_space_group_name_Hall 'P 1'
_cell_length_a 4.3866
_cell_length_b 4.3866
_cell_length_c 5.0398
_cell_angle_alpha 90.00
_cell_angle_beta 90.00
_cell_angle_gamma 90.00
loop_
_atom_site_label
_atom_site_type_symbol
_atom_site_fract_x
_atom_site_fract_y
_atom_site_fract_z
Ir1 Ir 0.0000 0.0000 0.5000
S1 S 0.0000 0.5000 0.0000
S2 S 0.5000 0.0000 0.0000
Br1 Br 0.5000 0.5000 0.5000
Zn1 Zn 0.0000 0.0000 0.0000
```

Computed properties:
Magnetization = 0.68 μB/atom
Symmetry = P4/mmm (123)
E_tot = -117.1 eV/f.u.

Record 7
KPbSe2Br: single point on PBEsol structure, meta-GGA SCAN.

Cell and atoms, written as CIF:
```
data_KPbSe2Br
_space_group_name_H-M_alt 'P 1'
_space_group_IT_number 1
_space_group_name_Hall 'P 1'
_cell_length_a 5.6359
_cell_length_b 5.3957
_cell_length_c 5.3957
_cell_angle_alpha 90.00
_cell_angle_beta 90.00
_cell_angle_gamma 90.00
loop_
_atom_site_label
_atom_site_type_symbol
_atom_site_fract_x
_atom_site_fract_y
_atom_site_fract_z
Se1 Se 0.0000 0.5000 0.0000
Se2 Se 0.0000 0.0000 0.5000
K1 K 0.0000 0.0000 0.0000
Br1 Br 0.5000 0.0000 0.0000
Pb1 Pb 0.5000 0.5000 0.5000
```

Computed properties:
Magnetization = 0.00 μB/atom
Symmetry = P4/mmm (123)
E_tot = -142.5 eV/f.u.

Record 8
TlZn3F: single point on PBEsol structure, meta-GGA SCAN.

Cell and atoms, written as CIF:
```
data_TlZn3F
_space_group_name_H-M_alt 'P 1'
_space_group_IT_number 1
_space_group_name_Hall 'P 1'
_cell_length_a 4.4905
_cell_length_b 4.4905
_cell_length_c 4.4905
_cell_angle_alpha 90.00
_cell_angle_beta 90.00
_cell_angle_gamma 90.00
loop_
_atom_site_label
_atom_site_type_symbol
_atom_site_fract_x
_atom_site_fract_y
_atom_site_fract_z
Zn1 Zn 0.0000 0.0000 0.5000
Zn2 Zn 0.5000 0.0000 0.0000
Zn3 Zn 0.0000 0.5000 0.0000
Tl1 Tl 0.5000 0.5000 0.5000
F1 F 0.0000 0.0000 0.0000
```

Computed properties:
Magnetization = 0.00 μB/atom
Symmetry = Pm-3m (221)
E_tot = -116.9 eV/f.u.

Record 9
OsRuPt: single point on PBEsol structure, meta-GGA SCAN.

Cell and atoms, written as CIF:
```
data_OsRuPt
_space_group_name_H-M_alt 'P 1'
_space_group_IT_number 1
_space_group_name_Hall 'P 1'
_cell_length_a 2.7072
_cell_length_b 3.8044
_cell_length_c 4.7088
_cell_angle_alpha 113.83
_cell_angle_beta 106.71
_cell_angle_gamma 90.00
loop_
_atom_site_label
_atom_site_type_symbol
_atom_site_fract_x
_atom_site_fract_y
_atom_site_fract_z
Ru1 Ru 0.3417 0.3417 0.6834
Os1 Os 0.9919 0.9919 0.9837
Pt1 Pt 0.6664 0.6664 0.3329
```

Computed properties:
Magnetization = 0.00 μB/atom
Symmetry = Imm2 (44)
E_tot = -176.8 eV/f.u.

Record 10
LiTeNO2: single point on PBEsol structure, meta-GGA SCAN.

Cell and atoms, written as CIF:
```
data_LiTeNO2
_space_group_name_H-M_alt 'P 1'
_space_group_IT_number 1
_space_group_name_Hall 'P 1'
_cell_length_a 3.8524
_cell_length_b 3.9430
_cell_length_c 3.9430
_cell_angle_alpha 90.00
_cell_angle_beta 90.00
_cell_angle_gamma 90.00
loop_
_atom_site_label
_atom_site_type_symbol
_atom_site_fract_x
_atom_site_fract_y
_atom_site_fract_z
O1 O 0.0000 0.5000 0.0000
O2 O 0.0000 0.0000 0.5000
N1 N 0.5000 0.0000 0.0000
Li1 Li 0.5000 0.5000 0.5000
Te1 Te 0.0000 0.0000 0.0000
```

Computed properties:
Magnetization = 0.00 μB/atom
Symmetry = P4/mmm (123)
E_tot = -63.3 eV/f.u.

Record 11
NaZr2CrMo: single point on PBEsol structure, meta-GGA SCAN.

Cell and atoms, written as CIF:
```
data_NaZr2CrMo
_space_group_name_H-M_alt 'P 1'
_space_group_IT_number 1
_space_group_name_Hall 'P 1'
_cell_length_a 4.6463
_cell_length_b 4.6463
_cell_length_c 4.8340
_cell_angle_alpha 90.00
_cell_angle_beta 90.00
_cell_angle_gamma 90.00
loop_
_atom_site_label
_atom_site_type_symbol
_atom_site_fract_x
_atom_site_fract_y
_atom_site_fract_z
Zr1 Zr 0.0000 0.5000 0.0000
Zr2 Zr 0.5000 0.0000 0.0000
Mo1 Mo 0.5000 0.5000 0.5000
Na1 Na 0.0000 0.0000 0.5000
Cr1 Cr 0.0000 0.0000 0.0000
```

Computed properties:
Magnetization = 0.87 μB/atom
Symmetry = P4/mmm (123)
E_tot = -112.1 eV/f.u.

Record 12
Li5Tl3: single point on PBEsol structure, meta-GGA SCAN.

Cell and atoms, written as CIF:
```
data_Li5Tl3
_space_group_name_H-M_alt 'P 1'
_space_group_IT_number 1
_space_group_name_Hall 'P 1'
_cell_length_a 4.7120
_cell_length_b 5.8018
_cell_length_c 5.8018
_cell_angle_alpha 108.27
_cell_angle_beta 90.00
_cell_angle_gamma 90.00
loop_
_atom_site_label
_atom_site_type_symbol
_atom_site_fract_x
_atom_site_fract_y
_atom_site_fract_z
Li1 Li 0.0000 0.5000 0.0000
Li2 Li 0.5000 0.2679 0.2679
Li3 Li 0.0000 0.0000 0.5000
Li4 Li 0.5000 0.7321 0.7321
Li5 Li 0.0000 0.0000 0.0000
Tl1 Tl 0.5000 0.2314 0.7686
Tl2 Tl 0.0000 0.5000 0.5000
Tl3 Tl 0.5000 0.7686 0.2314
```

Computed properties:
Magnetization = 0.00 μB/atom
Symmetry = Cmmm (65)
E_tot = -231.7 eV/f.u.

Record 13
KSb2Os: single point on PBEsol structure, meta-GGA SCAN.

Cell and atoms, written as CIF:
```
data_KSb2Os
_space_group_name_H-M_alt 'P 1'
_space_group_IT_number 1
_space_group_name_Hall 'P 1'
_cell_length_a 3.2766
_cell_length_b 3.2766
_cell_length_c 8.6424
_cell_angle_alpha 90.00
_cell_angle_beta 90.00
_cell_angle_gamma 90.00
loop_
_atom_site_label
_atom_site_type_symbol
_atom_site_fract_x
_atom_site_fract_y
_atom_site_fract_z
Sb1 Sb 0.0000 0.0000 0.3143
Sb2 Sb 0.0000 0.0000 0.6857
Os1 Os 0.5000 0.5000 0.5000
K1 K 0.5000 0.5000 0.0000
```

Computed properties:
Magnetization = 0.23 μB/atom
Symmetry = P4/mmm (123)
E_tot = -154.5 eV/f.u.

Record 14
TaFeP2: single point on PBEsol structure, meta-GGA SCAN.

Cell and atoms, written as CIF:
```
data_TaFeP2
_space_group_name_H-M_alt 'P 1'
_space_group_IT_number 1
_space_group_name_Hall 'P 1'
_cell_length_a 2.9771
_cell_length_b 4.1244
_cell_length_c 4.1244
_cell_angle_alpha 90.00
_cell_angle_beta 90.00
_cell_angle_gamma 90.00
loop_
_atom_site_label
_atom_site_type_symbol
_atom_site_fract_x
_atom_site_fract_y
_atom_site_fract_z
P1 P 0.0000 0.5000 0.0000
P2 P 0.0000 0.0000 0.5000
Fe1 Fe 0.5000 0.0000 0.0000
Ta1 Ta 0.5000 0.5000 0.5000
```

Computed properties:
Magnetization = 0.00 μB/atom
Symmetry = P4/mmm (123)
E_tot = -106.1 eV/f.u.